No. 1
A geometry-optimized La2ThUP4 structure, computed with PBE-GGA.

The structure belongs to space group P2/m (No. 10); the cell edges are 7.1701, 4.1395 and 7.2430 Å and the angles 90.00°, 109.24° and 90.00°. Symmetry generates all atoms from La at (0.0000, 0.0000, 0.0000), La at (0.5000, 0.5000, 0.0000), Th at (0.0000, 0.5000, 0.5000), U at (0.5000, 0.0000, 0.5000), P at (0.2531, 0.0000, 0.7353) and P at (0.2638, 0.5000, 0.2690).

The value obtained for the formation energy from the elements is -1.4047 eV per atom. For the calculated volume, the calculation gives 25.371 A^3/atom.

=====

No. 2
A geometry-optimized La4Th3UP8 structure, computed with PBE-GGA.

The structure belongs to space group R-3m (No. 166, hexagonal axes); the cell edges are 8.3439, 8.3439 and 20.5676 Å and the angles 90.00°, 90.00° and 120.00°. Symmetry generates all atoms from La at (0.0000, 0.0000, 0.0000), La at (0.0000, 0.5000, 0.0000), Th at (0.0000, 0.5000, 0.5000), U at (0.0000, 0.0000, 0.5000), P at (0.0000, 0.0000, 0.2466) and P at (0.0078, 0.5039, 0.2450).

The value obtained for the formation energy from the elements is -1.4946 eV per atom. For the calculated volume, the calculation gives 25.835 A^3/atom.

=====

Number 1: N(E_F) 1.025 states/eV/atom. Number 2: N(E_F) 0.653 states/eV/atom.